The following is a PBE calculation of a relaxed structure of CsAlH2, from the Alexandria database.

Cell and atoms, written as POSCAR:
```
CsAlH2
1.0
1.487 -2.412 4.010
-3.153 -0.842 3.669
-1.606 -4.560 0.858
H Al Cs
2 1 1
Cartesian
-0.818 -1.954 2.134
-2.454 -5.861 6.402
0.000 0.000 0.000
-1.636 -3.907 4.268
```

Properties
distance to the lowest polymorph of the same formula	0.554	eV per atom

The following is a PBE calculation of a relaxed structure of Cs3Al5H12, from the Alexandria database.

Cell and atoms, written as POSCAR:
```
Cs3Al5H12
1.0
12.516 0.000 0.000
-4.172 11.800 0.000
-4.172 -5.900 10.219
H Cs Al
48 12 20
Cartesian
-4.205 7.884 4.074
5.767 -1.247 5.989
1.470 -4.426 8.305
4.788 -3.871 7.343
-0.616 1.474 1.914
-1.595 7.147 4.230
-3.160 6.174 2.234
4.138 -4.520 9.900
6.749 3.040 7.024
4.788 4.426 8.305
7.332 -0.274 7.985
-1.012 4.103 1.354
-3.555 5.345 4.790
-0.491 4.287 9.184
1.470 3.871 7.343
2.702 10.326 1.914
-0.491 -3.040 7.024
0.491 1.247 5.989
0.033 3.363 3.755
2.119 -2.537 6.464
0.033 10.420 0.319
3.098 3.828 0.879
6.291 3.916 4.074
-2.119 1.984 6.144
-1.074 0.274 7.985
2.119 4.520 9.900
6.749 -4.287 9.184
5.184 1.797 8.865
4.663 1.613 1.035
1.074 2.071 9.340
2.052 1.379 0.319
5.184 -2.071 9.340
4.663 8.940 3.195
7.727 0.555 5.429
4.138 2.537 6.464
-1.012 7.971 0.879
-2.577 10.187 1.035
8.377 -1.984 6.144
2.702 2.029 2.876
-2.577 2.860 3.195
5.246 5.626 2.234
3.681 4.653 4.230
5.641 6.455 4.790
2.052 8.437 3.755
-0.616 9.771 2.876
1.074 -1.797 8.865
3.098 7.697 1.354
-1.470 -0.555 5.429
3.129 6.637 6.387
3.129 0.000 7.664
-5.215 5.900 7.664
-3.129 -2.212 8.942
-3.129 2.212 8.942
-1.043 5.162 6.387
9.387 0.000 2.555
5.215 0.737 3.832
7.301 3.687 1.277
1.043 -0.737 3.832
7.301 8.112 1.277
1.043 5.900 2.555
1.043 -2.950 7.664
2.086 2.950 5.109
4.172 -2.950 5.109
-4.172 2.950 5.109
3.129 8.850 2.555
0.000 0.000 0.000
1.043 3.687 8.942
5.215 -3.687 8.942
6.258 0.000 0.000
5.215 5.162 3.832
-1.043 0.737 6.387
-3.129 6.637 3.832
4.172 5.900 0.000
-2.086 -2.950 5.109
5.215 2.950 7.664
-1.043 9.587 1.277
3.129 2.212 1.277
-1.043 2.950 2.555
7.301 -0.737 6.387
-2.086 5.900 0.000
```

Properties
DFT total energy	-2.996	eV per atom